CrSbOs: relaxed, PBE-GGA.

Lattice parameters (Å, degrees): 4.449 4.449 2.998 90.00 90.00 120.00
Atoms (fractional coordinates):
Cr (0.000, 0.000, 0.000)
Sb (0.333, 0.667, 0.500)
Os (0.667, 0.333, 0.500)

- ΔE to the lowest computed polymorph: 0.289 eV per atom
- Formation energy without anion corrections: 547.6 meV/atom
- Raw total energy: -0.286 hartree per atom
- Density of states at the Fermi level: 1.639 states/eV per atom

***

TiMnPS2: relaxed, PBE-GGA.

Lattice parameters (Å, degrees): 4.650 4.650 4.776 90.00 90.00 90.00
Atoms (fractional coordinates):
Ti (0.000, 0.000, 0.000)
Mn (0.500, 0.500, 0.500)
P (0.000, 0.000, 0.500)
S (0.000, 0.500, 0.000)
S (0.500, 0.000, 0.000)

- ΔE to the lowest computed polymorph: 0.000 eV per atom
- Formation energy without anion corrections: -11.8 meV/atom
- Raw total energy: -0.226 hartree per atom
- Density of states at the Fermi level: 0.516 states/eV per atom

***

Ba2LiAlAu6: relaxed, PBE-GGA.

Lattice parameters (Å, degrees): 7.089 7.089 6.976 119.42 119.42 90.92
Atoms (fractional coordinates):
Ba (0.215, 0.785, 0.000)
Ba (0.785, 0.215, 0.000)
Li (0.000, 0.000, 0.500)
Al (0.500, 0.500, 0.500)
Au (0.247, 0.753, 0.500)
Au (0.289, 0.289, 0.995)
Au (0.290, 0.290, 0.585)
Au (0.710, 0.710, 0.415)
Au (0.711, 0.711, 0.005)
Au (0.753, 0.247, 0.500)

- ΔH_f (0 K): -0.534 eV/atom
- Raw total energy: -0.127 hartree per atom
- Density of states at the Fermi level: 0.289 states/eV per atom

***

Hf2UPaC4: relaxed, PBE-GGA.

Lattice parameters (Å, degrees): 5.892 3.397 5.998 90.00 109.04 90.00
Atoms (fractional coordinates):
Hf (0.000, 0.000, 0.000)
Hf (0.500, 0.500, 0.000)
U (0.000, 0.500, 0.500)
Pa (0.500, 0.000, 0.500)
C (0.239, 0.500, 0.237)
C (0.249, 0.000, 0.762)
C (0.751, 0.000, 0.238)
C (0.761, 0.500, 0.763)

- ΔH_f (0 K): -0.600 eV/atom
- Raw total energy: -0.378 hartree per atom
- Density of states at the Fermi level: 0.583 states/eV per atom

***

Ba2Sn2Ir2N: relaxed, PBE-GGA.

Lattice parameters (Å, degrees): 6.589 6.589 8.085 122.53 122.53 39.82
Atoms (fractional coordinates):
Ba (0.061, 0.061, 0.314)
Ba (0.939, 0.939, 0.686)
Sn (0.308, 0.308, 0.909)
Sn (0.692, 0.692, 0.091)
Ir (0.328, 0.328, 0.269)
Ir (0.672, 0.672, 0.731)
N (0.500, 0.500, 0.500)

- Formation energy without anion corrections: -500.9 meV/atom
- Raw total energy: -0.217 hartree per atom
- Density of states at the Fermi level: 0.569 states/eV per atom

***

ZnPd2N: relaxed, PBE-GGA.

Lattice parameters (Å, degrees): 6.653 6.653 6.653 136.40 136.40 63.36
Atoms (fractional coordinates):
Zn (0.000, 0.000, 0.000)
Zn (0.750, 0.250, 0.500)
Pd (0.241, 0.625, 0.116)
Pd (0.375, 0.491, 0.616)
Pd (0.509, 0.125, 0.884)
Pd (0.875, 0.759, 0.384)
N (0.250, 0.750, 0.500)
N (0.500, 0.500, 0.000)

- ΔE to the lowest computed polymorph: 0.000 eV per atom
- Formation energy without anion corrections: 478.1 meV/atom
- Raw total energy: -0.166 hartree per atom
- Density of states at the Fermi level: 0.798 states/eV per atom

***

TbCe3Y2Bi6: relaxed, PBE-GGA.

Lattice parameters (Å, degrees): 7.877 7.877 7.865 99.61 99.61 119.99
Atoms (fractional coordinates):
Tb (0.000, 0.000, 0.000)
Ce (0.167, 0.833, 0.500)
Ce (0.500, 0.500, 0.500)
Ce (0.833, 0.167, 0.500)
Y (0.333, 0.667, 0.000)
Y (0.667, 0.333, 0.000)
Bi (0.081, 0.415, 0.244)
Bi (0.252, 0.252, 0.756)
Bi (0.415, 0.081, 0.244)
Bi (0.585, 0.919, 0.756)
Bi (0.748, 0.748, 0.244)
Bi (0.919, 0.585, 0.756)

- ΔH_f (0 K): -0.844 eV/atom
- Raw total energy: -0.211 hartree per atom
- Density of states at the Fermi level: 1.704 states/eV per atom

***

CoRu2W: relaxed, PBE-GGA.

Lattice parameters (Å, degrees): 4.301 4.301 4.301 60.00 60.00 60.00
Atoms (fractional coordinates):
Co (0.000, 0.000, 0.000)
Ru (0.250, 0.250, 0.250)
Ru (0.750, 0.750, 0.750)
W (0.500, 0.500, 0.500)

- ΔE to the lowest computed polymorph: 0.195 eV per atom
- ΔH_f (0 K): 0.170 eV/atom
- Raw total energy: -0.348 hartree per atom
- Density of states at the Fermi level: 1.308 states/eV per atom